Entry 1:
Entry from the Alexandria database: crystalline AgH6Pd5 at its relaxed geometry (GGA-PBE).

Properties
The total energy comes out at -49.631 eV per formula unit. As for the density of states at the Fermi level: 2.858 states/eV/cell. The symmetry is C2/m. As for the crystal system: monoclinic. For the total moment, the calculation gives 0.00 μB/atom.

Structure (POSCAR):
```
AgH6Pd5
1.0
2.607 -4.404 0.000
2.607 4.404 0.000
-1.912 0.000 4.802
Ag H Pd
1 6 5
direct
0.000 0.000 0.000
0.105 0.495 0.243
0.254 0.254 0.683
0.495 0.105 0.243
0.505 0.895 0.757
0.746 0.746 0.317
0.895 0.505 0.757
0.164 0.836 0.500
0.330 0.670 0.000
0.500 0.500 0.500
0.670 0.330 0.000
0.836 0.164 0.500
```

=====

Entry 2:
Entry from the Alexandria database: crystalline Ag3H2Pd4 at its relaxed geometry (GGA-PBE).

Properties
The total energy comes out at -36.582 eV per formula unit. As for the density of states at the Fermi level: 1.593 states/eV/cell. The symmetry is P-1. As for the crystal system: triclinic. For the total moment, the calculation gives 0.00 μB/atom.

Structure (POSCAR):
```
Ag3H2Pd4
1.0
2.899 0.000 0.000
-1.433 4.727 0.000
-0.002 -0.871 8.940
Ag H Pd
3 2 4
direct
0.000 0.000 0.000
0.435 0.867 0.710
0.565 0.133 0.290
0.211 0.424 0.749
0.789 0.576 0.251
0.143 0.285 0.565
0.285 0.568 0.135
0.715 0.432 0.865
0.857 0.715 0.435
```

=====

Entry 3:
Entry from the Alexandria database: crystalline AgHPd at its relaxed geometry (GGA-PBE).

Properties
The total energy comes out at -11.204 eV per formula unit. As for the density of states at the Fermi level: 1.252 states/eV/cell. The symmetry is C2/m. As for the crystal system: monoclinic. For the total moment, the calculation gives 0.00 μB/atom.

Structure (POSCAR):
```
AgHPd
1.0
5.393 -1.448 0.000
5.393 1.448 0.000
-0.036 0.000 4.900
Ag H Pd
2 2 2
direct
0.201 0.201 0.259
0.799 0.799 0.741
0.395 0.395 0.085
0.605 0.605 0.915
0.064 0.064 0.747
0.936 0.936 0.253
```